i.
VASP calculation (PBE) on a geometry-optimized LaPm4Sm5 structure.

Results
**N(E_F)**: 14.61 states/eV/f.u.
**Symmetry**: P4/mmm

a = 3.663 Å, b = 3.663 Å, c = 25.744 Å
α = 90.00°, β = 90.00°, γ = 90.00°
Fractional coordinates of all 10 atoms:
La1 0.000 0.000 0.000
Pm1 0.000 0.000 0.202
Pm2 0.000 0.000 0.401
Pm3 0.000 0.000 0.599
Pm4 0.000 0.000 0.798
Sm1 0.500 0.500 0.102
Sm2 0.500 0.500 0.301
Sm3 0.500 0.500 0.500
Sm4 0.500 0.500 0.699
Sm5 0.500 0.500 0.898

=====

ii.
VASP calculation (PBE) on a geometry-optimized LaPm4Sm5 structure.

Results
**N(E_F)**: 17.46 states/eV/f.u.
**Symmetry**: C2/m

a = 14.521 Å, b = 14.521 Å, c = 6.936 Å
α = 97.26°, β = 97.26°, γ = 13.86°
Fractional coordinates of all 10 atoms:
La1 0.000 0.000 0.000
Pm1 0.109 0.109 0.804
Pm2 0.405 0.405 0.695
Pm3 0.595 0.595 0.305
Pm4 0.891 0.891 0.196
Sm1 0.000 0.000 0.500
Sm2 0.294 0.294 0.898
Sm3 0.297 0.297 0.399
Sm4 0.703 0.703 0.601
Sm5 0.706 0.706 0.102

=====

Which one sits at the bottom of the stability order? ii does.

=====

i.
VASP calculation (PBE) on a geometry-optimized La5Pm4Sm2 structure.

Results
**N(E_F)**: 18.82 states/eV/f.u.
**Symmetry**: C2/m

a = 12.422 Å, b = 12.422 Å, c = 9.049 Å
α = 96.71°, β = 96.71°, γ = 16.39°
Fractional coordinates of all 11 atoms:
La1 0.000 0.000 0.000
La2 0.270 0.270 0.177
La3 0.360 0.360 0.888
La4 0.640 0.640 0.112
La5 0.730 0.730 0.823
Pm1 0.177 0.177 0.472
Pm2 0.454 0.454 0.637
Pm3 0.546 0.546 0.363
Pm4 0.823 0.823 0.528
Sm1 0.408 0.408 0.271
Sm2 0.592 0.592 0.729

=====

ii.
VASP calculation (PBE) on a geometry-optimized La5Pm4Sm2 structure.

Results
**N(E_F)**: 16.97 states/eV/f.u.
**Symmetry**: C2/m

a = 12.491 Å, b = 12.491 Å, c = 8.922 Å
α = 94.67°, β = 94.67°, γ = 16.61°
Fractional coordinates of all 11 atoms:
La1 0.000 0.000 0.000
La2 0.316 0.316 0.527
La3 0.367 0.367 0.950
La4 0.633 0.633 0.050
La5 0.684 0.684 0.473
Pm1 0.087 0.087 0.696
Pm2 0.459 0.459 0.654
Pm3 0.541 0.541 0.346
Pm4 0.913 0.913 0.304
Sm1 0.227 0.227 0.826
Sm2 0.773 0.773 0.174

=====

Which one sits at the bottom of the stability order? i does.

=====

i.
VASP calculation (PBE) on a geometry-optimized La3Pm2Sm3 structure.

Results
**N(E_F)**: 15.27 states/eV/f.u.
**Symmetry**: P6_3/mcm

a = 9.900 Å, b = 9.900 Å, c = 6.775 Å
α = 90.00°, β = 90.00°, γ = 120.00°
Fractional coordinates of all 16 atoms:
La1 0.000 0.233 0.250
La2 0.000 0.767 0.750
La3 0.233 0.000 0.250
La4 0.233 0.233 0.750
La5 0.767 0.000 0.750
La6 0.767 0.767 0.250
Pm1 0.333 0.667 0.000
Pm2 0.333 0.667 0.500
Pm3 0.667 0.333 0.000
Pm4 0.667 0.333 0.500
Sm1 0.000 0.407 0.750
Sm2 0.000 0.593 0.250
Sm3 0.407 0.000 0.750
Sm4 0.407 0.407 0.250
Sm5 0.593 0.000 0.250
Sm6 0.593 0.593 0.750

=====

ii.
VASP calculation (PBE) on a geometry-optimized La3Pm2Sm3 structure.

Results
**N(E_F)**: 13.94 states/eV/f.u.
**Symmetry**: Immm

a = 11.054 Å, b = 11.054 Å, c = 11.054 Å
α = 152.88°, β = 152.76°, γ = 38.82°
Fractional coordinates of all 8 atoms:
La1 0.000 0.000 0.000
La2 0.376 0.876 0.500
La3 0.624 0.124 0.500
Pm1 0.249 0.249 0.000
Pm2 0.751 0.751 0.000
Sm1 0.127 0.627 0.500
Sm2 0.500 0.500 0.000
Sm3 0.873 0.373 0.500

=====

Which one sits at the bottom of the stability order? i does.

=====

i.
VASP calculation (PBE) on a geometry-optimized La8PmSm2 structure.

Results
**N(E_F)**: 17.56 states/eV/f.u.
**Symmetry**: C2/m

a = 10.468 Å, b = 10.468 Å, c = 5.853 Å
α = 93.11°, β = 93.11°, γ = 40.25°
Fractional coordinates of all 11 atoms:
La1 0.044 0.044 0.236
La2 0.099 0.641 0.267
La3 0.315 0.315 0.767
La4 0.359 0.901 0.733
La5 0.641 0.099 0.267
La6 0.685 0.685 0.233
La7 0.901 0.359 0.733
La8 0.956 0.956 0.764
Pm1 0.500 0.500 0.000
Sm1 0.217 0.217 0.259
Sm2 0.783 0.783 0.741

=====

ii.
VASP calculation (PBE) on a geometry-optimized La8PmSm2 structure.

Results
**N(E_F)**: 20.34 states/eV/f.u.
**Symmetry**: C2/m

a = 9.788 Å, b = 9.788 Å, c = 8.280 Å
α = 104.65°, β = 104.65°, γ = 31.14°
Fractional coordinates of all 11 atoms:
La1 0.046 0.046 0.227
La2 0.137 0.137 0.684
La3 0.318 0.318 0.588
La4 0.409 0.409 0.046
La5 0.591 0.591 0.954
La6 0.682 0.682 0.412
La7 0.863 0.863 0.316
La8 0.954 0.954 0.773
Pm1 0.500 0.500 0.500
Sm1 0.227 0.227 0.135
Sm2 0.773 0.773 0.865

=====

Which one sits at the bottom of the stability order? i does.

=====

i.
VASP calculation (PBE) on a geometry-optimized La4Pm3Sm2 structure.

Results
**N(E_F)**: 13.67 states/eV/f.u.
**Symmetry**: C2/m

a = 6.817 Å, b = 6.817 Å, c = 14.793 Å
α = 114.21°, β = 114.21°, γ = 31.72°
Fractional coordinates of all 9 atoms:
La1 0.216 0.216 0.104
La2 0.279 0.279 0.627
La3 0.721 0.721 0.373
La4 0.784 0.784 0.896
Pm1 0.496 0.496 0.114
Pm2 0.500 0.500 0.500
Pm3 0.504 0.504 0.886
Sm1 0.054 0.054 0.710
Sm2 0.946 0.946 0.290

=====

ii.
VASP calculation (PBE) on a geometry-optimized La4Pm3Sm2 structure.

Results
**N(E_F)**: 17.37 states/eV/f.u.
**Symmetry**: P3m1

a = 3.671 Å, b = 3.671 Å, c = 27.600 Å
α = 90.00°, β = 90.00°, γ = 120.00°
Fractional coordinates of all 9 atoms:
La1 0.000 0.000 0.000
La2 0.000 0.000 0.219
La3 0.333 0.667 0.332
La4 0.333 0.667 0.552
Pm1 0.000 0.000 0.441
Pm2 0.333 0.667 0.108
Pm3 0.333 0.667 0.770
Sm1 0.000 0.000 0.661
Sm2 0.000 0.000 0.873

=====

Which one sits at the bottom of the stability order? i does.

=====

i.
VASP calculation (PBE) on a geometry-optimized La3Pm2Sm6 structure.

Results
**N(E_F)**: 14.30 states/eV/f.u.
**Symmetry**: I4/mmm

a = 17.258 Å, b = 17.258 Å, c = 17.258 Å
α = 163.76°, β = 163.76°, γ = 23.04°
Fractional coordinates of all 11 atoms:
La1 0.000 0.000 0.000
La2 0.206 0.206 0.000
La3 0.794 0.794 0.000
Pm1 0.455 0.455 0.000
Pm2 0.545 0.545 0.000
Sm1 0.119 0.619 0.500
Sm2 0.309 0.309 0.000
Sm3 0.381 0.881 0.500
Sm4 0.619 0.119 0.500
Sm5 0.691 0.691 0.000
Sm6 0.881 0.381 0.500

=====

ii.
VASP calculation (PBE) on a geometry-optimized La3Pm2Sm6 structure.

Results
**N(E_F)**: 17.42 states/eV/f.u.
**Symmetry**: C2/m

a = 6.578 Å, b = 6.578 Å, c = 11.241 Å
α = 93.56°, β = 93.56°, γ = 125.77°
Fractional coordinates of all 11 atoms:
La1 0.000 0.000 0.000
La2 0.318 0.682 0.000
La3 0.682 0.318 0.000
Pm1 0.360 0.640 0.500
Pm2 0.640 0.360 0.500
Sm1 0.095 0.784 0.291
Sm2 0.216 0.905 0.709
Sm3 0.419 0.419 0.232
Sm4 0.581 0.581 0.768
Sm5 0.784 0.095 0.291
Sm6 0.905 0.216 0.709

=====

Which one sits at the bottom of the stability order? i does.

=====

i.
VASP calculation (PBE) on a geometry-optimized La3Pm8Sm2 structure.

Results
**N(E_F)**: 22.08 states/eV/f.u.
**Symmetry**: C2/m

a = 8.975 Å, b = 8.975 Å, c = 6.262 Å
α = 106.97°, β = 106.97°, γ = 83.04°
Fractional coordinates of all 13 atoms:
La1 0.000 0.000 0.000
La2 0.238 0.762 0.500
La3 0.762 0.238 0.500
Pm1 0.079 0.569 0.821
Pm2 0.160 0.160 0.547
Pm3 0.431 0.921 0.179
Pm4 0.441 0.441 0.718
Pm5 0.559 0.559 0.282
Pm6 0.569 0.079 0.821
Pm7 0.840 0.840 0.453
Pm8 0.921 0.431 0.179
Sm1 0.293 0.293 0.141
Sm2 0.707 0.707 0.859

=====

ii.
VASP calculation (PBE) on a geometry-optimized La3Pm8Sm2 structure.

Results
**N(E_F)**: 21.86 states/eV/f.u.
**Symmetry**: C2/m

a = 11.093 Å, b = 11.093 Å, c = 5.792 Å
α = 90.09°, β = 90.09°, γ = 41.06°
Fractional coordinates of all 13 atoms:
La1 0.000 0.000 0.000
La2 0.294 0.706 0.500
La3 0.706 0.294 0.500
Pm1 0.136 0.136 0.499
Pm2 0.184 0.601 0.999
Pm3 0.326 0.326 0.497
Pm4 0.399 0.816 0.001
Pm5 0.601 0.184 0.999
Pm6 0.674 0.674 0.503
Pm7 0.816 0.399 0.001
Pm8 0.864 0.864 0.501
Sm1 0.242 0.242 0.997
Sm2 0.758 0.758 0.003

=====

Which one sits at the bottom of the stability order? ii does.

=====

i.
VASP calculation (PBE) on a geometry-optimized La2Pm8Sm3 structure.

Results
**N(E_F)**: 21.32 states/eV/f.u.
**Symmetry**: C2/m

a = 8.938 Å, b = 8.938 Å, c = 6.248 Å
α = 107.24°, β = 107.24°, γ = 83.72°
Fractional coordinates of all 13 atoms:
La1 0.208 0.208 0.351
La2 0.792 0.792 0.649
Pm1 0.060 0.060 0.780
Pm2 0.075 0.584 0.325
Pm3 0.346 0.346 0.952
Pm4 0.416 0.925 0.675
Pm5 0.584 0.075 0.325
Pm6 0.654 0.654 0.048
Pm7 0.925 0.416 0.675
Pm8 0.940 0.940 0.220
Sm1 0.257 0.743 0.000
Sm2 0.500 0.500 0.500
Sm3 0.743 0.257 0.000

=====

ii.
VASP calculation (PBE) on a geometry-optimized La2Pm8Sm3 structure.

Results
**N(E_F)**: 21.30 states/eV/f.u.
**Symmetry**: C2/m

a = 11.239 Å, b = 11.239 Å, c = 5.735 Å
α = 90.02°, β = 90.02°, γ = 40.22°
Fractional coordinates of all 13 atoms:
La1 0.242 0.242 0.499
La2 0.758 0.758 0.501
Pm1 0.130 0.130 0.000
Pm2 0.188 0.604 0.500
Pm3 0.335 0.335 0.999
Pm4 0.396 0.812 0.500
Pm5 0.604 0.188 0.500
Pm6 0.665 0.665 0.001
Pm7 0.812 0.396 0.500
Pm8 0.870 0.870 0.000
Sm1 0.000 0.000 0.500
Sm2 0.288 0.712 0.000
Sm3 0.712 0.288 0.000

=====

Which one sits at the bottom of the stability order? ii does.